# 1
DFT (PBE-GGA) results for a relaxed Sr2CuSiGe2 crystal.

POSCAR file:
```
Sr2CuSiGe2
1.0
0.000 4.653 7.291
4.204 0.000 7.291
4.204 4.653 0.000
Sr Ge Cu Si
4 4 2 2
Cartesian
2.102 2.326 3.645
6.306 6.979 10.936
4.204 7.045 7.291
4.204 2.260 7.291
2.130 4.653 6.034
2.130 4.653 8.548
6.279 4.653 8.548
6.279 4.653 6.034
4.204 4.653 9.767
4.204 4.653 4.815
4.204 4.653 2.480
4.204 4.653 12.102
```


# 2
DFT (PBE-GGA) results for a relaxed SrCu2SiGe crystal.

POSCAR file:
```
SrCu2SiGe
1.0
5.499 -1.852 -0.922
3.374 -1.198 4.658
-5.400 -1.319 -1.902
Si Sr Cu Ge
1 1 2 1
Cartesian
3.295 -1.133 1.388
8.867 -3.048 3.734
1.238 -2.033 2.326
2.301 -2.360 -0.464
5.515 -1.896 2.323
```


# 3
DFT (PBE-GGA) results for a relaxed TbCu2SiGe crystal.

POSCAR file:
```
TbCu2SiGe
1.0
1.705 -0.823 5.502
-3.431 1.411 4.482
-0.265 -2.907 -5.033
Tb Cu Si Ge
1 2 1 1
Cartesian
-1.723 0.587 9.964
0.281 -1.715 2.772
-2.287 -0.599 2.262
-0.653 0.222 3.775
-1.063 0.362 6.145
```


| no. | total DFT energy (no corrections) (Ha/atom) |
| --- | --- |
| 1 | -0.1522 |
| 2 | -0.1542 |
| 3 | -0.1828 |